VASP calculation (PBE) on CrFeMoOs2 after structural relaxation.

## Properties
**D(E_F)**: 8.7 states/eV/f.u.
**Final energy**: -42.44 eV/f.u.
**Energy of formation**: 173 kJ/mol of atoms
**Magnetization**: 0.00 μB/f.u.

Unit cell a=4.385 b=4.385 c=4.374 alpha=90.00 beta=90.00 gamma=90.00
Space group P4/mmm (No. 123)
Inequivalent atoms, fractional coordinates:
Cr (0.000, 0.000, 0.000)
Fe (0.500, 0.500, 0.500)
Mo (0.000, 0.000, 0.500)
Os (0.000, 0.500, 0.000)